No. 1
Crystalline Al2TeP at its relaxed geometry. Source: Alexandria via LeMat-Bulk, functional GGA-PBE.

Size of the total moment, μB/cell: 0.0
ΔE_f (raw), eV/atom: 0.29
ρ, g cm⁻³: 4.54

abc: 6.3311 7.0601 3.4774
angles: 90.00 90.00 90.00
Space group Cmmm (No. 65)
One atom of each set of equivalent atoms:
1 Al 0.2500 0.2500 0.0000 x4
2 Te 0.0000 0.0000 0.5000 x2
3 P 0.0000 0.5000 0.5000 x2

---

No. 2
Crystalline Li2Mg2Pd3 at its relaxed geometry. Source: Alexandria via LeMat-Bulk, functional GGA-PBE.

Size of the total moment, μB/cell: 0.0
ρ, g cm⁻³: 5.81
ΔE_f, eV/atom: -0.556

abc: 7.6403 4.3941 6.9614
angles: 90.00 111.03 90.00
Space group C2/m (No. 12)
One atom of each set of equivalent atoms:
1 Li 0.1386 0.0000 0.4188 x4
2 Mg 0.2131 0.5000 0.1409 x4
3 Pd 0.0000 0.0000 0.0000 x2
4 Pd 0.0724 0.5000 0.7148 x4

---

Which formula does entry 1 have?
Al2TeP

---

Which formula does entry 2 have?
Li2Mg2Pd3